1.
Li2Ho2Pd5: relaxed, PBE.

Output
**E_tot**: -5.001 eV per atom
**V**: 306.4 Å³/cell
**Energy relative to the elements**: -674 meV/atom

a b c (Å): 6.545 5.999 8.978
angles (deg): 109.52 111.38 90.00
Fractional positions:
Pd 0.877 0.915 0.255
Pd 0.621 0.659 0.743
Pd 0.751 0.287 0.500
Pd 0.878 0.415 0.255
Pd 0.123 0.660 0.745
Pd 0.122 0.160 0.745
Pd 0.249 0.787 0.500
Pd 0.378 0.416 0.257
Pd 0.622 0.159 0.743
Pd 0.379 0.916 0.257
Li 0.429 0.965 0.856
Li 0.073 0.610 0.144
Li 0.571 0.110 0.144
Li 0.927 0.465 0.856
Ho 0.249 0.287 0.500
Ho 0.500 0.537 0.000
Ho 0.751 0.787 0.500
Ho 0.000 0.037 0.000

---

2.
LiHoPd2: relaxed, PBE.

Output
**E_tot**: -4.922 eV per atom
**V**: 72.5 Å³/cell
**Energy relative to the elements**: -702 meV/atom

a b c (Å): 4.681 4.681 4.681
angles (deg): 60.00 60.00 60.00
Fractional positions:
Pd 0.250 0.250 0.250
Pd 0.750 0.750 0.750
Li 0.000 0.000 0.000
Ho 0.500 0.500 0.500

---

3.
LiHo2Pd3: relaxed, PBE.

Output
**E_tot**: -5.228 eV per atom
**V**: 113.6 Å³/cell
**Energy relative to the elements**: -787 meV/atom

a b c (Å): 3.458 3.458 9.504
angles (deg): 90.00 90.00 90.00
Fractional positions:
Pd 0.000 0.000 0.648
Pd 0.000 0.000 0.352
Pd 0.000 0.000 0.000
Ho 0.500 0.500 0.815
Ho 0.500 0.500 0.185
Li 0.500 0.500 0.500

---

What did the third record say?
LiHo2Pd3: relaxed, PBE.

Output
**E_tot**: -5.228 eV per atom
**V**: 113.6 Å³/cell
**Energy relative to the elements**: -787 meV/atom

a b c (Å): 3.458 3.458 9.504
angles (deg): 90.00 90.00 90.00
Fractional positions:
Pd 0.000 0.000 0.648
Pd 0.000 0.000 0.352
Pd 0.000 0.000 0.000
Ho 0.500 0.500 0.815
Ho 0.500 0.500 0.185
Li 0.500 0.500 0.500

---

> Among the records above, which one has the lowest V?

LiHoPd2

---

> Which formula does entry 1 have?

Li2Ho2Pd5

---

> Number 1 is which compound?

Li2Ho2Pd5